#w
# Ba6PdAu2

A relaxed structure of Ba6PdAu2 (PBE, Alexandria via LeMat-Bulk).

Results
**DOS at the Fermi energy**: 0.7689 states/eV/atom

Lattice parameters (Å, degrees): 7.943 8.567 13.742 90.00 119.83 90.00
Atoms (fractional coordinates):
Ba: 0.076 0.055 0.243
Ba: 0.076 0.445 0.743
Ba: 0.255 0.685 0.084
Ba: 0.255 0.815 0.584
Ba: 0.384 0.180 0.064
Ba: 0.384 0.320 0.564
Ba: 0.616 0.680 0.436
Ba: 0.616 0.820 0.936
Ba: 0.745 0.185 0.416
Ba: 0.745 0.315 0.916
Ba: 0.924 0.555 0.257
Ba: 0.924 0.945 0.757
Pd: 0.000 0.000 0.000
Pd: 0.000 0.500 0.500
Au: 0.328 0.113 0.776
Au: 0.328 0.387 0.276
Au: 0.672 0.613 0.724
Au: 0.672 0.887 0.224

---

#x
# Ba6PdAu2

A relaxed structure of Ba6PdAu2 (PBE, Alexandria via LeMat-Bulk).

Results
**DOS at the Fermi energy**: 0.6654 states/eV/atom

Lattice parameters (Å, degrees): 7.649 8.194 13.983 90.00 90.00 90.00
Atoms (fractional coordinates):
Ba: 0.228 0.171 0.000
Ba: 0.239 0.665 0.161
Ba: 0.239 0.665 0.839
Ba: 0.261 0.165 0.339
Ba: 0.261 0.165 0.661
Ba: 0.272 0.671 0.500
Ba: 0.728 0.329 0.500
Ba: 0.739 0.835 0.339
Ba: 0.739 0.835 0.661
Ba: 0.761 0.335 0.161
Ba: 0.761 0.335 0.839
Ba: 0.772 0.829 0.000
Pd: 0.000 0.500 0.000
Pd: 0.500 0.000 0.500
Au: 0.000 0.000 0.175
Au: 0.000 0.000 0.825
Au: 0.500 0.500 0.325
Au: 0.500 0.500 0.675

---

Relative energies in meV/atom: #w 9; #x 0

---

#w
# BaPmAu

A relaxed structure of BaPmAu (PBE, Alexandria via LeMat-Bulk).

Results
**DOS at the Fermi energy**: 0.9926 states/eV/atom

Lattice parameters (Å, degrees): 7.495 7.495 7.495 149.81 149.81 43.22
Atoms (fractional coordinates):
Ba: 0.000 0.000 0.000
Pm: 0.263 0.263 0.000
Au: 0.668 0.668 0.000

---

#x
# BaPmAu

A relaxed structure of BaPmAu (PBE, Alexandria via LeMat-Bulk).

Results
**DOS at the Fermi energy**: 1.1661 states/eV/atom

Lattice parameters (Å, degrees): 5.054 5.054 4.933 90.00 90.00 120.00
Atoms (fractional coordinates):
Ba: 0.000 0.000 0.000
Pm: 0.333 0.667 0.488
Au: 0.667 0.333 0.570

---

Relative energies in meV/atom: #w 0; #x 129